1.
A relaxed structure of Ce2NdDyBi5. Source: Alexandria, functional PBE-GGA.

Values from the calculation:
DFT formation energy ... 3 meV/atom
Space group ... P4/mmm, No. 123

Cell: 5.5947 5.5947 11.9190 Å, 90.00 90.00 90.00°
With the nearest neighbours (Å) after each atom.
Fractional coordinates of all 9 atoms:
Ce1 0.0000 0.0000 0.2171  1 Bi 3.37
Ce2 0.0000 0.0000 0.7829  1 Bi 3.37
Nd1 0.5000 0.5000 0.0000  6 Bi 2.80-3.06
Dy1 0.5000 0.5000 0.5000  2 Bi 2.90
Bi1 0.0000 0.0000 0.5000  2 Ce 3.37
Bi2 0.0000 0.5000 0.0000  2 Nd 2.80
Bi3 0.5000 0.0000 0.0000  2 Nd 2.80
Bi4 0.5000 0.5000 0.2563  1 Dy 2.90, 1 Nd 3.06
Bi5 0.5000 0.5000 0.7437  1 Dy 2.90, 1 Nd 3.06



2.
A relaxed structure of Cr3TcC. Source: Alexandria, functional PBE-GGA.

Values from the calculation:
DFT formation energy ... 2415 meV/atom
Space group ... Pm-3m, No. 221
Excess energy over the best structure of this formula in the dataset ... 11.68 eV per formula unit

Cell: 4.6167 4.6167 4.6167 Å, 90.00 90.00 90.00°
With the nearest neighbours (Å) after each atom.
Fractional coordinates of all 5 atoms:
Cr1 0.0000 0.0000 0.5000  2 Tc 2.31
Cr2 0.0000 0.5000 0.0000  2 Tc 2.31
Cr3 0.5000 0.0000 0.0000  2 Tc 2.31
Tc1 0.0000 0.0000 0.0000  6 Cr 2.31
C1 0.5000 0.5000 0.5000  12 Cr 3.26



3.
A relaxed structure of Zn2PdAuSe. Source: Alexandria, functional PBE-GGA.

Values from the calculation:
Space group ... P4/mmm, No. 123
Raw total energy ... -2.47 eV per atom

Cell: 4.7839 4.7839 5.1619 Å, 90.00 90.00 90.00°
With the nearest neighbours (Å) after each atom.
Fractional coordinates of all 5 atoms:
Zn1 0.0000 0.5000 0.0000  2 Au 2.39
Zn2 0.5000 0.0000 0.0000  2 Au 2.39
Pd1 0.0000 0.0000 0.5000  2 Au 2.58
Au1 0.0000 0.0000 0.0000  4 Zn 2.39, 2 Pd 2.58
Se1 0.5000 0.5000 0.5000  4 Pd 3.38, 8 Zn 3.52



4.
A relaxed structure of Pm3Er2Pb4. Source: Alexandria, functional PBE-GGA.

Values from the calculation:
DFT formation energy ... -458 meV/atom
Space group ... C2/m, No. 12
Excess energy over the best structure of this formula in the dataset ... 0.00 eV per formula unit

Cell: 8.6010 8.6010 6.8911 Å, 104.75 104.75 34.42°
With the nearest neighbours (Å) after each atom.
Fractional coordinates of all 9 atoms:
Pm1 0.0000 0.0000 0.0000  4 Pb 3.19
Pm2 0.1182 0.1182 0.5822  7 Pb 3.27-3.55
Pm3 0.8818 0.8818 0.4178  7 Pb 3.27-3.55
Er1 0.3325 0.3325 0.9270  5 Pb 3.03-3.33
Er2 0.6675 0.6675 0.0730  5 Pb 3.03-3.33
Pb1 0.2434 0.2434 0.2841  3 Er 3.03-3.18, 3 Pm 3.27-3.37
Pb2 0.4927 0.4927 0.7164  1 Pb 3.05, 2 Pm 3.19, 2 Er 3.24-3.33
Pb3 0.5073 0.5073 0.2836  1 Pb 3.05, 2 Pm 3.19, 2 Er 3.24-3.33
Pb4 0.7566 0.7566 0.7159  3 Er 3.03-3.18, 3 Pm 3.27-3.37



5.
A relaxed structure of BaAgO3. Source: Alexandria, functional PBE-GGA.

Values from the calculation:
Space group ... P2_1/m, No. 11
Raw total energy ... -4.96 eV per atom

Cell: 4.2661 5.3068 7.3044 Å, 90.00 96.69 90.00°
With the nearest neighbours (Å) after each atom.
Fractional coordinates of all 10 atoms:
Ba1 0.0568 0.2500 0.2650  9 O 2.76-2.88
Ba2 0.9432 0.7500 0.7350  9 O 2.76-2.88
Ag1 0.4883 0.2500 0.8835  2 O 2.13-2.14
Ag2 0.5117 0.7500 0.1165  2 O 2.13-2.14
O1 0.0132 0.7500 0.1320  2 Ag 2.13-2.14
O2 0.3970 0.5012 0.5643  1 O 1.36
O3 0.3970 0.9988 0.5643  1 O 1.36
O4 0.6030 0.0012 0.4357  1 O 1.36
O5 0.6030 0.4988 0.4357  1 O 1.36
O6 0.9868 0.2500 0.8680  2 Ag 2.13-2.14



6.
A relaxed structure of LaHf3I. Source: Alexandria, functional PBE-GGA.

Values from the calculation:
Space group ... Pm-3m, No. 221
Excess energy over the best structure of this formula in the dataset ... 0.00 eV per formula unit

Cell: 5.3083 5.3083 5.3083 Å, 90.00 90.00 90.00°
With the nearest neighbours (Å) after each atom.
Fractional coordinates of all 5 atoms:
La1 0.0000 0.0000 0.0000  12 Hf 3.75
Hf1 0.0000 0.5000 0.5000  2 I 2.65
Hf2 0.5000 0.0000 0.5000  2 I 2.65
Hf3 0.5000 0.5000 0.0000  2 I 2.65
I1 0.5000 0.5000 0.5000  6 Hf 2.65



| no. | DOS at the Fermi energy (states/eV/f.u.) | calculated density (g cm⁻³) |
| --- | --- | --- |
| 1 | 18.6 | 7.26 |
| 2 | 3.7 | 4.49 |
| 3 | 4.0 | 7.21 |
| 4 | 5.1 | 9.56 |
| 5 | 2.4 | 5.93 |
| 6 | 9.1 | 8.90 |